1.
Y4IrAu2 (GGA-PBE, optimized geometry); density = 8.9 g/cm3; final energy = -6.594 eV per atom; DFT formation energy = -0.698 eV per atom; magnetic moment = 0.00 Bohr magnetons per cell
1.0
2.498 1.442 8.175
-2.498 1.442 8.175
0.000 -2.884 8.175
Y Ir Au
4 1 2
direct
0.121 0.121 0.121
0.372 0.372 0.372
0.628 0.628 0.628
0.879 0.879 0.879
0.000 0.000 0.000
0.244 0.244 0.244
0.756 0.756 0.756


2.
KCaRe (GGA-PBE, optimized geometry); density = 5.3 g/cm3; final energy = -3.959 eV per atom; DFT formation energy = 1.224 eV per atom; energy above the lowest structure with this stoichiometry = 0.100 eV per atom; magnetic moment = 0.45 Bohr magnetons per cell
1.0
2.786 0.000 0.000
0.000 4.885 0.000
0.000 0.000 12.117
K Ca Re
2 2 2
direct
0.000 0.000 0.000
0.500 0.500 0.500
0.000 0.000 0.283
0.500 0.500 0.783
0.000 0.000 0.691
0.500 0.500 0.191


3.
RbLiSiAu2 (GGA-PBE, optimized geometry); density = 3.7 g/cm3; final energy = -1.760 eV per atom; energy above the lowest structure with this stoichiometry = 1.413 eV per atom; magnetic moment = 2.00 Bohr magnetons per cell; E_form (uncorrected) = 1.212 eV/atom
1.0
6.176 0.000 0.000
0.000 6.176 0.000
0.000 0.000 5.996
Rb Li Si Au
1 1 1 2
direct
0.000 0.000 0.000
0.500 0.500 0.500
0.000 0.000 0.500
0.000 0.500 0.000
0.500 0.000 0.000


4.
Ba3MgPb (GGA-PBE, optimized geometry); density = 3.4 g/cm3; final energy = -2.194 eV per atom; DFT formation energy = 0.020 eV per atom; energy above the lowest structure with this stoichiometry = 0.000 eV per atom; magnetic moment = 0.32 Bohr magnetons per cell
1.0
6.777 0.000 0.000
0.000 6.777 0.000
0.000 0.000 6.777
Ba Mg Pb
3 1 1
direct
0.000 0.000 0.500
0.000 0.500 0.000
0.500 0.000 0.000
0.500 0.500 0.500
0.000 0.000 0.000


5.
BeTlRh2 (GGA-PBE, optimized geometry); density = 11.5 g/cm3; final energy = -4.994 eV per atom; DFT formation energy = 0.205 eV per atom; energy above the lowest structure with this stoichiometry = 0.342 eV per atom; magnetic moment = 0.00 Bohr magnetons per cell
1.0
3.879 0.000 0.000
0.000 3.879 0.000
0.000 0.000 8.051
Be Tl Rh
2 2 4
direct
0.000 0.000 0.000
0.500 0.500 0.500
0.000 0.500 0.250
0.500 0.000 0.750
0.000 0.000 0.500
0.000 0.500 0.750
0.500 0.000 0.250
0.500 0.500 0.000


6.
LiMoAu (GGA-PBE, optimized geometry); density = 8.4 g/cm3; final energy = -4.778 eV per atom; DFT formation energy = 0.563 eV per atom; energy above the lowest structure with this stoichiometry = 0.551 eV per atom; magnetic moment = 1.83 Bohr magnetons per cell
1.0
4.899 0.000 0.000
0.000 9.484 0.000
0.000 0.000 5.122
Li Mo Au
4 4 4
direct
0.000 0.244 0.250
0.000 0.756 0.750
0.500 0.256 0.750
0.500 0.744 0.250
0.000 0.037 0.750
0.000 0.963 0.250
0.500 0.463 0.250
0.500 0.537 0.750
0.000 0.500 0.000
0.000 0.500 0.500
0.500 0.000 0.000
0.500 0.000 0.500


7.
Tb3CoCl3 (GGA-PBE, optimized geometry); density = 5.7 g/cm3; final energy = -5.188 eV per atom; magnetic moment = 0.00 Bohr magnetons per cell; E_form (uncorrected) = -1.397 eV/atom
1.0
8.294 0.000 0.000
0.000 3.936 0.000
-0.113 0.000 11.481
Tb Co Cl
6 2 6
direct
0.103 0.250 0.332
0.143 0.250 0.863
0.281 0.750 0.103
0.719 0.250 0.897
0.857 0.750 0.137
0.897 0.750 0.668
0.061 0.250 0.099
0.939 0.750 0.901
0.122 0.250 0.600
0.335 0.750 0.351
0.428 0.750 0.873
0.572 0.250 0.127
0.665 0.250 0.649
0.878 0.750 0.400


8.
CsSiAsSe2 (GGA-PBE, optimized geometry); density = 4.9 g/cm3; final energy = -3.624 eV per atom; energy above the lowest structure with this stoichiometry = 0.000 eV per atom; magnetic moment = 0.00 Bohr magnetons per cell; E_form (uncorrected) = -0.045 eV/atom
1.0
5.231 0.000 0.000
0.000 5.231 0.000
0.000 0.000 4.894
Cs Si As Se
1 1 1 2
direct
0.000 0.000 0.000
0.500 0.500 0.500
0.500 0.500 0.000
0.000 0.500 0.500
0.500 0.000 0.500


9.
KIn2FeBi (GGA-PBE, optimized geometry); density = 3.7 g/cm3; final energy = -2.795 eV per atom; DFT formation energy = 0.989 eV per atom; magnetic moment = 3.26 Bohr magnetons per cell
1.0
5.966 0.000 0.000
0.000 5.966 0.000
0.000 0.000 6.638
K In Fe Bi
1 2 1 1
direct
0.000 0.000 0.000
0.000 0.500 0.500
0.500 0.000 0.500
0.500 0.500 0.000
0.000 0.000 0.500


10.
NdTmGaRh (GGA-PBE, optimized geometry); density = 8.6 g/cm3; final energy = -5.602 eV per atom; DFT formation energy = -0.698 eV per atom; energy above the lowest structure with this stoichiometry = 0.000 eV per atom; magnetic moment = 0.00 Bohr magnetons per cell
1.0
3.915 0.000 0.000
0.000 4.296 0.000
0.000 0.000 11.092
Nd Tm Ga Rh
2 2 2 2
direct
0.000 0.000 0.000
0.000 0.500 0.500
0.500 0.000 0.286
0.500 0.500 0.786
0.500 0.000 0.588
0.500 0.500 0.088
0.000 0.000 0.740
0.000 0.500 0.240